(1)
DFT (PBE) results for an optimized crystal structure of Zr2Sc5Al4.

Summary:
N(E_F) (states/eV/cell): 10.911
Symmetry: P2/m (10)
DFT total energy (eV per atom): -6.029
Crystal system: monoclinic

Unit cell a=2.993 b=7.846 c=9.847 alpha=83.76 beta=90.00 gamma=90.00
Site moments in Bohr magnetons follow the coordinates.
Fractional coordinates of all 11 atoms:
Al1 0.500 0.186 0.112  0.00
Sc1 0.000 0.500 0.000  0.21
Sc2 0.000 0.168 0.849  0.11
Al2 0.500 0.251 0.570  0.00
Sc3 0.000 0.832 0.151  0.11
Zr1 0.000 0.081 0.360  -0.03
Al3 0.500 0.814 0.888  0.00
Sc4 0.000 0.455 0.329  0.06
Al4 0.500 0.749 0.430  0.00
Sc5 0.000 0.545 0.671  0.06
Zr2 0.000 0.919 0.640  -0.03



(2)
DFT (PBE) results for an optimized crystal structure of Nb4S.

Summary:
N(E_F) (states/eV/cell): 7.375
Symmetry: P2/c (13)
Energy above the lowest structure with this stoichiometry (meV per atom): 0
Uncorrected formation energy (eV/f.u.): -1.10
Crystal system: monoclinic

Unit cell a=5.290 b=5.186 c=6.656 alpha=90.00 beta=90.00 gamma=97.88
Fractional coordinates of all 10 atoms:
Nb1 0.759 0.489 0.886
Nb2 0.803 0.945 0.640
Nb3 0.803 0.445 0.360
Nb4 0.197 0.555 0.640
S1 0.500 0.750 0.375
S2 0.500 0.250 0.625
Nb5 0.759 0.989 0.114
Nb6 0.197 0.055 0.360
Nb7 0.241 0.511 0.114
Nb8 0.241 0.011 0.886



(3)
DFT (PBE) results for an optimized crystal structure of LiTmPuS3.

Summary:
N(E_F) (states/eV/cell): 20.361
Symmetry: P2_1/m (11)
Uncorrected formation energy (eV/f.u.): -10.24
Crystal system: monoclinic

Unit cell a=3.835 b=7.995 c=8.359 alpha=102.80 beta=90.00 gamma=90.00
Site moments in Bohr magnetons follow the coordinates.
Fractional coordinates of all 12 atoms:
S1 0.750 0.220 0.499  -0.03
Tm1 0.750 0.335 0.832  0.08
Pu1 0.250 0.178 0.217  5.43
Tm2 0.250 0.665 0.168  0.08
S2 0.250 0.103 0.864  -0.05
Pu2 0.750 0.822 0.783  5.43
S3 0.250 0.780 0.501  -0.03
S4 0.750 0.427 0.166  -0.04
S5 0.250 0.573 0.834  -0.04
S6 0.750 0.897 0.136  -0.05
Li1 0.250 0.087 0.581  0.00
Li2 0.750 0.913 0.419  0.00